# Ba2SbH2

Ba2SbH2 at its PBEsol-relaxed geometry (SCAN, Alexandria via LeMat-Bulk).

```
data_Ba2SbH2
_cell_length_a 4.1810
_cell_length_b 4.1810
_cell_length_c 8.0475
_cell_angle_alpha 105.06
_cell_angle_beta 105.06
_cell_angle_gamma 90.00
_symmetry_space_group_name_H-M 'P 1'
_symmetry_Int_Tables_number 1
loop_
_symmetry_equiv_pos_as_xyz
'x,y,z'
loop_
_atom_site_label
_atom_site_type_symbol
_atom_site_fract_x
_atom_site_fract_y
_atom_site_fract_z
_atom_site_occupancy
H1 H 0.7500 0.2500 0.5000 1
H2 H 0.2500 0.7500 0.5000 1
Ba1 Ba 0.3543 0.3543 0.7085 1
Ba2 Ba 0.6457 0.6457 0.2915 1
Sb1 Sb 0.0000 0.0000 0.0000 1
```

Results
Energy relative to the lowest polymorph listed for this composition   0.0 meV per atom
E   -127.08 eV for the cell shown

# Li2Ti3VO8

Li2Ti3VO8 at its PBEsol-relaxed geometry (SCAN, Alexandria via LeMat-Bulk).

```
data_Li2Ti3VO8
_cell_length_a 5.8528
_cell_length_b 5.8528
_cell_length_c 9.4842
_cell_angle_alpha 90.00
_cell_angle_beta 90.00
_cell_angle_gamma 120.00
_symmetry_space_group_name_H-M 'P 1'
_symmetry_Int_Tables_number 1
loop_
_symmetry_equiv_pos_as_xyz
'x,y,z'
loop_
_atom_site_label
_atom_site_type_symbol
_atom_site_fract_x
_atom_site_fract_y
_atom_site_fract_z
_atom_site_occupancy
O1 O 0.4802 0.9605 0.1610 1
O2 O 0.0000 0.0000 0.1873 1
O3 O 0.8352 0.1648 0.3992 1
O4 O 0.9605 0.4802 0.6610 1
O5 O 0.0395 0.5198 0.1610 1
O6 O 0.3297 0.1648 0.3992 1
O7 O 0.5198 0.4802 0.6610 1
O8 O 0.5198 0.0395 0.6610 1
O9 O 0.8352 0.6703 0.3992 1
O10 O 0.1648 0.3297 0.8992 1
O11 O 0.4802 0.5198 0.1610 1
O12 O 0.0000 0.0000 0.6873 1
O13 O 0.1648 0.8352 0.8992 1
O14 O 0.3333 0.6667 0.3978 1
O15 O 0.6667 0.3333 0.8978 1
O16 O 0.6703 0.8352 0.8992 1
Ti1 Ti 0.8309 0.1691 0.7856 1
Ti2 Ti 0.1691 0.8309 0.2856 1
Ti3 Ti 0.6618 0.8309 0.2856 1
Ti4 Ti 0.8309 0.6618 0.7856 1
Ti5 Ti 0.1691 0.3382 0.2856 1
Ti6 Ti 0.3382 0.1691 0.7856 1
Li1 Li 0.0000 0.0000 0.5031 1
Li2 Li 0.0000 0.0000 0.0031 1
Li3 Li 0.3333 0.6667 0.6058 1
Li4 Li 0.6667 0.3333 0.1058 1
V1 V 0.3333 0.6667 0.0156 1
V2 V 0.6667 0.3333 0.5156 1
```

Results
Energy relative to the lowest polymorph listed for this composition   38.6 meV per atom
E   -324.10 eV for the cell shown
ΔE_f (raw)   -2.989 eV per atom

# ZnCd2Rh

ZnCd2Rh at its PBEsol-relaxed geometry (SCAN, Alexandria via LeMat-Bulk).

```
data_ZnCd2Rh
_cell_length_a 4.0226
_cell_length_b 3.9867
_cell_length_c 4.0223
_cell_angle_alpha 90.00
_cell_angle_beta 90.00
_cell_angle_gamma 90.00
_symmetry_space_group_name_H-M 'P 1'
_symmetry_Int_Tables_number 1
loop_
_symmetry_equiv_pos_as_xyz
'x,y,z'
loop_
_atom_site_label
_atom_site_type_symbol
_atom_site_fract_x
_atom_site_fract_y
_atom_site_fract_z
_atom_site_occupancy
Zn1 Zn 0.0000 0.5000 0.5000 1
Cd1 Cd 0.5000 0.0000 0.5000 1
Cd2 Cd 0.0000 0.0000 0.0000 1
Rh1 Rh 0.5000 0.5000 0.0000 1
```

Results
Energy relative to the elements   -0.127 eV/atom
E   -108.62 eV for the cell shown

# SrTl2Pb

SrTl2Pb at its PBEsol-relaxed geometry (SCAN, Alexandria via LeMat-Bulk).

```
data_SrTl2Pb
_cell_length_a 3.8612
_cell_length_b 4.3081
_cell_length_c 7.2445
_cell_angle_alpha 90.00
_cell_angle_beta 90.00
_cell_angle_gamma 90.00
_symmetry_space_group_name_H-M 'P 1'
_symmetry_Int_Tables_number 1
loop_
_symmetry_equiv_pos_as_xyz
'x,y,z'
loop_
_atom_site_label
_atom_site_type_symbol
_atom_site_fract_x
_atom_site_fract_y
_atom_site_fract_z
_atom_site_occupancy
Pb1 Pb 0.0000 0.0000 0.4712 1
Tl1 Tl 0.0000 0.0000 0.0267 1
Tl2 Tl 0.5000 0.5000 0.2488 1
Sr1 Sr 0.5000 0.5000 0.7533 1
```

Results
Energy relative to the elements   -0.322 eV/atom
E   -244.06 eV for the cell shown

# Ba2PPb

Ba2PPb at its PBEsol-relaxed geometry (SCAN, Alexandria via LeMat-Bulk).

```
data_Ba2PPb
_cell_length_a 4.7698
_cell_length_b 4.7698
_cell_length_c 6.5454
_cell_angle_alpha 111.37
_cell_angle_beta 111.37
_cell_angle_gamma 90.00
_symmetry_space_group_name_H-M 'P 1'
_symmetry_Int_Tables_number 1
loop_
_symmetry_equiv_pos_as_xyz
'x,y,z'
loop_
_atom_site_label
_atom_site_type_symbol
_atom_site_fract_x
_atom_site_fract_y
_atom_site_fract_z
_atom_site_occupancy
Pb1 Pb 0.2500 0.7500 0.5000 1
Ba1 Ba 0.7500 0.2500 0.5000 1
Ba2 Ba 0.0000 0.0000 0.0000 1
P1 P 0.5000 0.5000 0.0000 1
```

Results
Energy relative to the elements   -0.545 eV/atom
E   -167.46 eV for the cell shown

# Ti4C3N

Ti4C3N at its PBEsol-relaxed geometry (SCAN, Alexandria via LeMat-Bulk).

```
data_Ti4C3N
_cell_length_a 3.0248
_cell_length_b 3.0248
_cell_length_c 10.0189
_cell_angle_alpha 81.32
_cell_angle_beta 81.32
_cell_angle_gamma 60.00
_symmetry_space_group_name_H-M 'P 1'
_symmetry_Int_Tables_number 1
loop_
_symmetry_equiv_pos_as_xyz
'x,y,z'
loop_
_atom_site_label
_atom_site_type_symbol
_atom_site_fract_x
_atom_site_fract_y
_atom_site_fract_z
_atom_site_occupancy
Ti1 Ti 0.6245 0.6245 0.1266 1
Ti2 Ti 0.3755 0.3755 0.8734 1
Ti3 Ti 0.8748 0.8748 0.3757 1
Ti4 Ti 0.1252 0.1252 0.6242 1
C1 C 0.2510 0.2510 0.2469 1
C2 C 0.5000 0.5000 0.5000 1
C3 C 0.7490 0.7490 0.7531 1
N1 N 0.0000 0.0000 0.0000 1
```

Results
E   -113.56 eV for the cell shown
ΔE_f (raw)   -1.231 eV per atom

# Al2ZnPt

Al2ZnPt at its PBEsol-relaxed geometry (SCAN, Alexandria via LeMat-Bulk).

```
data_Al2ZnPt
_cell_length_a 3.9867
_cell_length_b 4.5846
_cell_length_c 3.9867
_cell_angle_alpha 64.23
_cell_angle_beta 90.00
_cell_angle_gamma 115.77
_symmetry_space_group_name_H-M 'P 1'
_symmetry_Int_Tables_number 1
loop_
_symmetry_equiv_pos_as_xyz
'x,y,z'
loop_
_atom_site_label
_atom_site_type_symbol
_atom_site_fract_x
_atom_site_fract_y
_atom_site_fract_z
_atom_site_occupancy
Al1 Al 0.7500 0.5000 0.7500 1
Al2 Al 0.2500 0.5000 0.2500 1
Zn1 Zn 0.5000 0.0000 0.5000 1
Pt1 Pt 0.0000 0.0000 0.0000 1
```

Results
Energy relative to the elements   -0.632 eV/atom
E   -101.74 eV for the cell shown

# Ba2AsBr

Ba2AsBr at its PBEsol-relaxed geometry (SCAN, Alexandria via LeMat-Bulk).

```
data_Ba2AsBr
_cell_length_a 4.2874
_cell_length_b 5.1509
_cell_length_c 6.4789
_cell_angle_alpha 90.00
_cell_angle_beta 109.32
_cell_angle_gamma 90.00
_symmetry_space_group_name_H-M 'P 1'
_symmetry_Int_Tables_number 1
loop_
_symmetry_equiv_pos_as_xyz
'x,y,z'
loop_
_atom_site_label
_atom_site_type_symbol
_atom_site_fract_x
_atom_site_fract_y
_atom_site_fract_z
_atom_site_occupancy
Br1 Br 0.5059 0.0000 0.0118 1
Ba1 Ba 0.0057 0.5000 0.0114 1
Ba2 Ba 0.2461 0.0000 0.4923 1
As1 As 0.7422 0.5000 0.4845 1
```

Results
E   -125.18 eV for the cell shown
ΔE_f (raw)   -1.608 eV per atom

| no. | D(E_F) (states/eV/atom) | density (kg/m3) | spin magnetization (μB/atom) |
| --- | --- | --- | --- |
| 1 | 0.310 | 5057 | 0.00 |
| 2 | 0.213 | 3971 | 0.21 |
| 3 | 0.548 | 10120 | 0.00 |
| 4 | 0.485 | 9695 | 0.00 |
| 5 | 0.672 | 6673 | 0.00 |
| 6 | 0.142 | 5130 | 0.00 |
| 7 | 0.400 | 9087 | 0.00 |
| 8 | 0.062 | 5282 | 0.00 |